DFT (PBE with a Hubbard U) results for a geometry-optimized Y2RhWF structure.

Structure (POSCAR):
```
Y2RhWF
1.0
5.615 0.000 0.000
0.000 5.615 0.000
0.000 0.000 4.040
Y Rh W F
2 1 1 1
Cartesian
0.000 2.808 0.000 Y
2.808 0.000 0.000 Y
0.000 0.000 2.020 Rh
2.808 2.808 0.000 W
2.808 2.808 2.020 F
```

* DOS(E_F): 3.54 states/eV/cell
* SG: No. 123
* electronic total energy: -5.6346 eV/atom